No. 1
CrBPb3 (PBE-GGA, optimized geometry); Fermi-level density of states = 8.2 states/eV per cell; ΔE_f = 1.4330 eV/atom; polymorph energy (0 for the lowest one) = 0.167 eV/atom
1.0
4.9724 0.0000 0.0000
0.0000 4.9724 0.0000
0.0000 0.0000 4.9724
Cr B Pb
1 1 3
direct
0.0000 0.0000 0.0000
0.5000 0.5000 0.5000
0.0000 0.5000 0.5000
0.5000 0.0000 0.5000
0.5000 0.5000 0.0000


No. 2
RbCrB2Pb (PBE-GGA, optimized geometry); Fermi-level density of states = 2.6 states/eV per cell; ΔE_f = 2.2101 eV/atom
1.0
4.8696 0.0000 0.0000
0.0000 4.8696 0.0000
0.0000 0.0000 6.5872
Rb Cr B Pb
1 1 2 1
direct
0.0000 0.0000 0.0000
0.5000 0.5000 0.0000
0.0000 0.5000 0.5000
0.5000 0.0000 0.5000
0.0000 0.0000 0.5000


No. 3
RbCr2BPb (PBE-GGA, optimized geometry); Fermi-level density of states = 3.0 states/eV per cell; ΔE_f = 1.5536 eV/atom
1.0
5.5167 0.0000 0.0000
0.0000 5.5167 0.0000
0.0000 0.0000 4.9626
Rb Cr B Pb
1 2 1 1
direct
0.0000 0.0000 0.0000
0.0000 0.5000 0.5000
0.5000 0.0000 0.5000
0.5000 0.5000 0.0000
0.5000 0.5000 0.5000


No. 4
SrCr2BPb (PBE-GGA, optimized geometry); Fermi-level density of states = 9.7 states/eV per cell; ΔE_f = 0.9362 eV/atom
1.0
4.3047 0.0000 0.0000
0.0000 4.3047 0.0000
0.0000 0.0000 5.0710
Sr Cr B Pb
1 2 1 1
direct
0.0000 0.0000 0.0000
0.0000 0.5000 0.5000
0.5000 0.0000 0.5000
0.5000 0.5000 0.5000
0.5000 0.5000 0.0000


No. 5
TiCr2BPb (PBE-GGA, optimized geometry); Fermi-level density of states = 4.6 states/eV per cell; ΔE_f = 1.3223 eV/atom
1.0
4.6243 0.0000 0.0000
0.0000 4.6243 0.0000
0.0000 0.0000 4.3439
Ti Cr B Pb
1 2 1 1
direct
0.0000 0.0000 0.0000
0.0000 0.5000 0.0000
0.5000 0.0000 0.0000
0.0000 0.0000 0.5000
0.5000 0.5000 0.5000


No. 6
VCrBPb2 (PBE-GGA, optimized geometry); Fermi-level density of states = 3.0 states/eV per cell; ΔE_f = 1.5246 eV/atom
1.0
5.2687 0.0000 0.0000
0.0000 5.2687 0.0000
0.0000 0.0000 4.3048
V Cr B Pb
1 1 1 2
direct
0.0000 0.0000 0.0000
0.0000 0.0000 0.5000
0.5000 0.5000 0.5000
0.0000 0.5000 0.0000
0.5000 0.0000 0.0000


No. 7
Cr3BPd (PBE-GGA, optimized geometry); Fermi-level density of states = 5.2 states/eV per cell; ΔE_f = 0.2311 eV/atom; polymorph energy (0 for the lowest one) = 0.000 eV/atom
1.0
3.9033 0.0000 0.0000
0.0000 3.9033 0.0000
0.0000 0.0000 3.9033
Cr B Pd
3 1 1
direct
0.0000 0.0000 0.5000
0.0000 0.5000 0.0000
0.5000 0.0000 0.0000
0.0000 0.0000 0.0000
0.5000 0.5000 0.5000


No. 8
CrB2Pd2 (PBE-GGA, optimized geometry); Fermi-level density of states = 5.4 states/eV per cell; ΔE_f = 0.3137 eV/atom; polymorph energy (0 for the lowest one) = 0.162 eV/atom
1.0
-1.8208 1.8208 4.3462
1.8208 -1.8208 4.3462
1.8208 1.8208 -4.3462
Cr B Pd
1 2 2
direct
0.0000 0.0000 0.0000
0.4020 0.4020 0.0000
0.5980 0.5980 0.0000
0.2500 0.7500 0.5000
0.7500 0.2500 0.5000


No. 9
Cr2BPd (PBE-GGA, optimized geometry); Fermi-level density of states = 4.8 states/eV per cell; ΔE_f = 0.6143 eV/atom
1.0
-1.6652 1.6652 8.5985
1.6652 -1.6652 8.5985
1.6652 1.6652 -8.5985
Cr B Pd
4 2 2
direct
0.0734 0.6250 0.9484
0.3750 0.3234 0.4484
0.6766 0.1250 0.0516
0.8750 0.9266 0.5516
0.0000 0.0000 0.0000
0.7500 0.2500 0.5000
0.2500 0.7500 0.5000
0.5000 0.5000 0.0000


No. 10
CrB2Pd2 (PBE-GGA, optimized geometry); Fermi-level density of states = 4.7 states/eV per cell; ΔE_f = 0.1517 eV/atom; polymorph energy (0 for the lowest one) = 0.000 eV/atom
1.0
5.9011 0.0000 0.0000
0.0000 5.9011 0.0000
0.0000 0.0000 3.2498
Cr B Pd
2 4 4
direct
0.0000 0.0000 0.0000
0.5000 0.5000 0.0000
0.1042 0.3958 0.0000
0.3958 0.8958 0.0000
0.6042 0.1042 0.0000
0.8958 0.6042 0.0000
0.2022 0.7022 0.5000
0.2978 0.2022 0.5000
0.7022 0.7978 0.5000
0.7978 0.2978 0.5000


No. 11
CrB3Pd (PBE-GGA, optimized geometry); Fermi-level density of states = 3.4 states/eV per cell; ΔE_f = 1.1531 eV/atom; polymorph energy (0 for the lowest one) = 0.000 eV/atom
1.0
3.8636 0.0000 0.0000
0.0000 3.8636 0.0000
0.0000 0.0000 3.8636
Cr B Pd
1 3 1
direct
0.0000 0.0000 0.0000
0.0000 0.0000 0.5000
0.0000 0.5000 0.0000
0.5000 0.0000 0.0000
0.5000 0.5000 0.5000


No. 12
CrBPd2 (PBE-GGA, optimized geometry); Fermi-level density of states = 10.7 states/eV per cell; ΔE_f = 0.3705 eV/atom
1.0
-3.4565 3.4565 2.2438
3.4565 -3.4565 2.2438
3.4565 3.4565 -2.2438
Cr B Pd
2 2 4
direct
0.0000 0.0000 0.0000
0.7500 0.2500 0.5000
0.2500 0.7500 0.5000
0.5000 0.5000 0.0000
0.2303 0.6250 0.1053
0.3750 0.4803 0.6053
0.5197 0.1250 0.8947
0.8750 0.7697 0.3947


No. 13
Cr3BPd (PBE-GGA, optimized geometry); Fermi-level density of states = 5.5 states/eV per cell; ΔE_f = 2.0907 eV/atom; polymorph energy (0 for the lowest one) = 1.860 eV/atom
1.0
4.7855 0.0000 0.0000
0.0000 4.7855 0.0000
0.0000 0.0000 4.7855
Cr B Pd
3 1 1
direct
0.0000 0.0000 0.5000
0.0000 0.5000 0.0000
0.5000 0.0000 0.0000
0.5000 0.5000 0.5000
0.0000 0.0000 0.0000


No. 14
CrB3Pd (PBE-GGA, optimized geometry); Fermi-level density of states = 5.4 states/eV per cell; ΔE_f = 1.8115 eV/atom; polymorph energy (0 for the lowest one) = 0.658 eV/atom
1.0
3.9732 0.0000 0.0000
0.0000 3.9732 0.0000
0.0000 0.0000 3.9732
Cr B Pd
1 3 1
direct
0.0000 0.0000 0.0000
0.0000 0.5000 0.5000
0.5000 0.0000 0.5000
0.5000 0.5000 0.0000
0.5000 0.5000 0.5000